(1)
{
  "formula": "Ho3CoSe",
  "functional": "PBE",
  "state": "relaxed",
  "e_form_raw_kcal_per_mol_atoms": -17.79,
  "spacegroup": "P2_1/m, No. 11",
  "magmom_total_mub_per_atom": 0.00,
  "density_g_cm3": 8.94,
  "lattice": [[7.878, 0.000, 0.000], [0.000, 3.790, 0.000], [-2.434, 0.000, 7.869]],
  "species": ["Ho", "Ho", "Ho", "Ho", "Ho", "Ho", "Co", "Co", "Se", "Se"],
  "fractional_positions": [[0.071, 0.250, 0.245], [0.308, 0.250, 0.942], [0.325, 0.750, 0.599], [0.675, 0.250, 0.401], [0.692, 0.750, 0.058], [0.929, 0.750, 0.755], [0.063, 0.250, 0.583], [0.937, 0.750, 0.417], [0.381, 0.750, 0.247], [0.619, 0.250, 0.753]]
}

***

(2)
{
  "formula": "BeRh3Br",
  "functional": "PBE",
  "state": "relaxed",
  "e_form_raw_kcal_per_mol_atoms": 14.04,
  "spacegroup": "Pm-3m, No. 221",
  "magmom_total_mub_per_atom": 0.45,
  "density_g_cm3": 8.51,
  "relative_energy_mev_per_atom": 0.0,
  "lattice": [[4.265, 0.000, 0.000], [0.000, 4.265, 0.000], [0.000, 0.000, 4.265]],
  "species": ["Be", "Rh", "Rh", "Rh", "Br"],
  "fractional_positions": [[0.000, 0.000, 0.000], [0.000, 0.000, 0.500], [0.000, 0.500, 0.000], [0.500, 0.000, 0.000], [0.500, 0.500, 0.500]]
}

***

(3)
{
  "formula": "Ti4Nb4Tc",
  "functional": "PBE",
  "state": "relaxed",
  "spacegroup": "I4/mmm, No. 139",
  "magmom_total_mub_per_atom": 0.00,
  "density_g_cm3": 7.10,
  "e_form_ev_per_atom": -0.099,
  "lattice": [[-4.894, 4.894, 1.614], [4.894, -4.894, 1.614], [4.894, 4.894, -1.614]],
  "species": ["Ti", "Ti", "Ti", "Ti", "Nb", "Nb", "Nb", "Nb", "Tc"],
  "fractional_positions": [[0.155, 0.155, 0.311], [0.155, 0.845, 0.000], [0.845, 0.155, 0.000], [0.845, 0.845, 0.689], [0.165, 0.500, 0.665], [0.500, 0.165, 0.665], [0.500, 0.835, 0.335], [0.835, 0.500, 0.335], [0.500, 0.500, 0.000]]
}

***

(4)
{
  "formula": "Sr2MgPb",
  "functional": "PBE",
  "state": "relaxed",
  "spacegroup": "R-3m, No. 166",
  "magmom_total_mub_per_atom": 0.17,
  "density_g_cm3": 4.35,
  "e_form_ev_per_atom": -0.098,
  "lattice": [[2.038, 1.177, 10.794], [-2.038, 1.177, 10.794], [0.000, -2.353, 10.794]],
  "species": ["Sr", "Sr", "Mg", "Pb"],
  "fractional_positions": [[0.246, 0.246, 0.246], [0.754, 0.754, 0.754], [0.000, 0.000, 0.000], [0.500, 0.500, 0.500]]
}